## a
Entry from Alexandria: Hf after structural relaxation (PBE).

Output
**DOS(E_F)**: 2.3 states/eV/f.u.
**SG**: P6/mmm, No. 191
**Size of the total moment**: 0.0001 μB/atom

Cell: 5.054 5.054 2.778 Å, 90.00 90.00 120.00°
Positions (direct):
Hf (0.333, 0.667, 0.000)
Hf (0.667, 0.333, 0.000)

***

## b
Entry from Alexandria: Hf after structural relaxation (PBE).

Output
**DOS(E_F)**: 1.3 states/eV/f.u.
**SG**: P6_3/mmc, No. 194
**Size of the total moment**: 0.0000 μB/atom

Cell: 3.183 3.183 15.357 Å, 90.00 90.00 120.00°
Positions (direct):
Hf (0.000, 0.000, 0.250)
Hf (0.000, 0.000, 0.750)
Hf (0.333, 0.667, 0.083)
Hf (0.333, 0.667, 0.417)
Hf (0.667, 0.333, 0.583)
Hf (0.667, 0.333, 0.917)

***

## c
Entry from Alexandria: Hf after structural relaxation (PBE).

Output
**DOS(E_F)**: 0.7 states/eV/f.u.
**SG**: I4/m, No. 87
**Size of the total moment**: 0.0000 μB/atom

Cell: 7.979 7.979 7.979 Å, 92.12 92.12 157.84°
Positions (direct):
Hf (0.093, 0.355, 0.448)
Hf (0.095, 0.829, 0.924)
Hf (0.171, 0.095, 0.266)
Hf (0.355, 0.907, 0.262)
Hf (0.645, 0.093, 0.738)
Hf (0.829, 0.905, 0.734)
Hf (0.905, 0.171, 0.076)
Hf (0.907, 0.645, 0.552)

***

Most stable to least stable, the ends of the list are b and a.

***

## a
Entry from Alexandria: Hf after structural relaxation (PBE).

Output
**DOS(E_F)**: 0.6 states/eV/f.u.
**SG**: P6/mmm, No. 191
**Size of the total moment**: 0.0000 μB/atom

Cell: 2.988 2.988 3.004 Å, 90.00 90.00 120.00°
Positions (direct):
Hf (0.000, 0.000, 0.000)

***

## b
Entry from Alexandria: Hf after structural relaxation (PBE).

Output
**DOS(E_F)**: 1.6 states/eV/f.u.
**SG**: Im-3m, No. 229
**Size of the total moment**: 0.0000 μB/atom

Cell: 3.064 3.064 3.064 Å, 109.47 109.47 109.47°
Positions (direct):
Hf (0.000, 0.000, 0.000)

***

Most stable to least stable, the ends of the list are b and a.

***

## a
Entry from Alexandria: Hf4Hg after structural relaxation (PBE).

Output
**DOS(E_F)**: 8.2 states/eV/f.u.
**SG**: Pm-3m, No. 221
**Size of the total moment**: 0.4699 μB/atom

Cell: 5.175 5.175 5.175 Å, 90.00 90.00 90.00°
Positions (direct):
Hf (0.000, 0.000, 0.000)
Hf (0.000, 0.500, 0.500)
Hf (0.500, 0.000, 0.500)
Hf (0.500, 0.500, 0.000)
Hg (0.500, 0.500, 0.500)

***

## b
Entry from Alexandria: Hf4Hg after structural relaxation (PBE).

Output
**DOS(E_F)**: 6.8 states/eV/f.u.
**SG**: Imma, No. 74
**Size of the total moment**: 0.0000 μB/atom

Cell: 8.362 8.362 8.362 Å, 146.64 137.31 55.23°
Positions (direct):
Hf (0.000, 0.000, 0.000)
Hf (0.201, 0.197, 0.004)
Hf (0.308, 0.803, 0.504)
Hf (0.355, 0.605, 0.750)
Hf (0.500, 0.000, 0.500)
Hf (0.645, 0.395, 0.250)
Hf (0.692, 0.197, 0.496)
Hf (0.799, 0.803, 0.996)
Hg (0.145, 0.395, 0.750)
Hg (0.855, 0.605, 0.250)

***

Most stable to least stable, the ends of the list are b and a.

***

## a
Entry from Alexandria: Ho2HfHg after structural relaxation (PBE).

Output
**DOS(E_F)**: 6.8 states/eV/f.u.
**SG**: R-3m, No. 166
**Size of the total moment**: 0.0001 μB/atom

Cell: 11.637 11.637 11.637 Å, 16.28 16.28 16.28°
Positions (direct):
Ho (0.092, 0.092, 0.092)
Ho (0.908, 0.908, 0.908)
Hf (0.000, 0.000, 0.000)
Hg (0.500, 0.500, 0.500)

***

## b
Entry from Alexandria: Ho2HfHg after structural relaxation (PBE).

Output
**DOS(E_F)**: 4.1 states/eV/f.u.
**SG**: P4/mmm, No. 123
**Size of the total moment**: 0.0000 μB/atom

Cell: 3.426 3.426 8.785 Å, 90.00 90.00 90.00°
Positions (direct):
Ho (0.000, 0.000, 0.243)
Ho (0.000, 0.000, 0.757)
Hf (0.500, 0.500, 0.500)
Hg (0.500, 0.500, 0.000)

***

Most stable to least stable, the ends of the list are b and a.

***

## a
Entry from Alexandria: Hf2HgI after structural relaxation (PBE).

Output
**DOS(E_F)**: 5.6 states/eV/f.u.
**SG**: Fm-3m, No. 225
**Size of the total moment**: 0.0000 μB/atom

Cell: 5.012 5.012 5.012 Å, 60.00 60.00 60.00°
Positions (direct):
Hf (0.250, 0.250, 0.250)
Hf (0.750, 0.750, 0.750)
Hg (0.000, 0.000, 0.000)
I (0.500, 0.500, 0.500)

***

## b
Entry from Alexandria: Hf2HgI after structural relaxation (PBE).

Output
**DOS(E_F)**: 4.1 states/eV/f.u.
**SG**: I-42d, No. 122
**Size of the total moment**: 0.0000 μB/atom

Cell: 10.903 10.903 10.903 Å, 156.50 156.50 33.47°
Positions (direct):
Hf (0.119, 0.625, 0.994)
Hf (0.375, 0.369, 0.494)
Hf (0.631, 0.125, 0.006)
Hf (0.875, 0.881, 0.506)
Hg (0.000, 0.000, 0.000)
Hg (0.750, 0.250, 0.500)
I (0.250, 0.750, 0.500)
I (0.500, 0.500, 0.000)

***

Most stable to least stable, the ends of the list are a and b.

***

## a
Entry from Alexandria: HfHg2I after structural relaxation (PBE).

Output
**DOS(E_F)**: 4.7 states/eV/f.u.
**SG**: Fm-3m, No. 225
**Size of the total moment**: 0.1306 μB/atom

Cell: 5.337 5.337 5.337 Å, 60.00 60.00 60.00°
Positions (direct):
Hf (0.000, 0.000, 0.000)
Hg (0.250, 0.250, 0.250)
Hg (0.750, 0.750, 0.750)
I (0.500, 0.500, 0.500)

***

## b
Entry from Alexandria: HfHg2I after structural relaxation (PBE).

Output
**DOS(E_F)**: 4.4 states/eV/f.u.
**SG**: I-42d, No. 122
**Size of the total moment**: 0.0000 μB/atom

Cell: 7.181 7.181 7.181 Å, 99.00 99.00 133.39°
Positions (direct):
Hf (0.000, 0.000, 0.000)
Hf (0.750, 0.250, 0.500)
Hg (0.044, 0.625, 0.919)
Hg (0.375, 0.294, 0.419)
Hg (0.706, 0.125, 0.081)
Hg (0.875, 0.956, 0.581)
I (0.250, 0.750, 0.500)
I (0.500, 0.500, 0.000)

***

Most stable to least stable, the ends of the list are b and a.

***

## a
Entry from Alexandria: HfHgI3 after structural relaxation (PBE).

Output
**DOS(E_F)**: 2.1 states/eV/f.u.
**SG**: Pm-3m, No. 221
**Size of the total moment**: 0.0000 μB/atom

Cell: 5.721 5.721 5.721 Å, 90.00 90.00 90.00°
Positions (direct):
Hf (0.000, 0.000, 0.000)
Hg (0.500, 0.500, 0.500)
I (0.000, 0.000, 0.500)
I (0.000, 0.500, 0.000)
I (0.500, 0.000, 0.000)

***

## b
Entry from Alexandria: HfHgI3 after structural relaxation (PBE).

Output
**DOS(E_F)**: 7.3 states/eV/f.u.
**SG**: Pm-3m, No. 221
**Size of the total moment**: 0.3563 μB/atom

Cell: 5.847 5.847 5.847 Å, 90.00 90.00 90.00°
Positions (direct):
Hf (0.000, 0.000, 0.000)
Hg (0.500, 0.500, 0.500)
I (0.000, 0.500, 0.500)
I (0.500, 0.000, 0.500)
I (0.500, 0.500, 0.000)

***

Most stable to least stable, the ends of the list are a and b.

***

## a
Entry from Alexandria: HfHgIN2 after structural relaxation (PBE).

Output
**DOS(E_F)**: 3.8 states/eV/f.u.
**SG**: P4/mmm, No. 123
**Size of the total moment**: 0.0001 μB/atom

Cell: 4.205 4.205 5.555 Å, 90.00 90.00 90.00°
Positions (direct):
Hf (0.000, 0.000, 0.000)
Hg (0.500, 0.500, 0.000)
I (0.000, 0.000, 0.500)
N (0.000, 0.500, 0.500)
N (0.500, 0.000, 0.500)

***

## b
Entry from Alexandria: HfHgIN2 after structural relaxation (PBE).

Output
**DOS(E_F)**: 3.7 states/eV/f.u.
**SG**: P4/mmm, No. 123
**Size of the total moment**: 0.0001 μB/atom

Cell: 4.250 4.250 5.662 Å, 90.00 90.00 90.00°
Positions (direct):
Hf (0.000, 0.000, 0.000)
Hg (0.500, 0.500, 0.500)
I (0.500, 0.500, 0.000)
N (0.000, 0.500, 0.500)
N (0.500, 0.000, 0.500)

***

Most stable to least stable, the ends of the list are a and b.